1.
Compound: Ba3La
Source: the Alexandria database
Functional: GGA-PBE
Structure: relaxed

Uncorrected energy = -10.09 eV/cell
Excess energy over the best structure of this formula in the dataset = 2.8 kJ/mol of atoms
Theoretical density = 4.3 g/cm³
Volume = 53.8 Å³ per atom
Formation enthalpy at 0 K = 0.15 eV/atom
N(E_F) = 4.08 states/eV/f.u.

Structure (POSCAR):
```
Ba3La
1.0
6.717 0.000 0.000
0.000 4.094 0.002
0.000 1.386 7.826
Ba La
3 1
Cartesian
0.000 2.745 3.828 Ba
0.000 4.090 0.087 Ba
3.359 4.110 5.871 Ba
3.359 1.370 1.957 La
```


2.
Compound: BaLa2
Source: the Alexandria database
Functional: GGA-PBE
Structure: relaxed

Uncorrected energy = -22.22 eV/cell
Excess energy over the best structure of this formula in the dataset = 12.0 kJ/mol of atoms
Theoretical density = 5.5 g/cm³
Volume = 42.1 Å³ per atom
Formation enthalpy at 0 K = 0.22 eV/atom
N(E_F) = 4.34 states/eV/f.u.

Structure (POSCAR):
```
BaLa2
1.0
3.121 -5.405 0.000
3.121 5.405 0.000
0.000 0.000 7.479
Ba La
2 4
Cartesian
3.121 1.802 5.609 Ba
3.121 -1.802 1.870 Ba
3.121 -1.802 5.609 La
0.000 0.000 3.740 La
3.121 1.802 1.870 La
0.000 0.000 0.000 La
```


3.
Compound: Ba2La
Source: the Alexandria database
Functional: GGA-PBE
Structure: relaxed

Uncorrected energy = -8.32 eV/cell
Excess energy over the best structure of this formula in the dataset = 2.2 kJ/mol of atoms
Theoretical density = 4.5 g/cm³
Volume = 51.2 Å³ per atom
Formation enthalpy at 0 K = 0.15 eV/atom
N(E_F) = 5.02 states/eV/f.u.

Structure (POSCAR):
```
Ba2La
1.0
-7.836 -0.858 5.467
-3.470 -3.467 8.244
6.303 4.657 -5.533
Ba La
2 1
Cartesian
-3.891 -1.488 4.718 Ba
-7.415 -2.836 8.993 Ba
0.000 0.000 0.000 La
```